# 1
Computed, not measured: a relaxed structure of LiCaGe2Pd at the PBE level of DFT.

Computed properties:
Space group: I-4m2 (119)
Final energy, eV/atom: -4.265
DOS(E_F), states/eV/f.u.: 2.62
Calculated density, kg/m3: 5228
Formation energy, eV/atom: -0.5960

abc: 6.0597 6.0597 6.0597
angles: 138.99 138.99 59.39
Positions (direct):
1 Li 0.0000 0.0000 0.0000
2 Ca 0.7500 0.2500 0.5000
3 Ge 0.1332 0.6332 0.5000
4 Ge 0.3668 0.8668 0.5000
5 Pd 0.5000 0.5000 0.0000


# 2
Computed, not measured: a relaxed structure of LiCa2GePd at the PBE level of DFT.

Computed properties:
Space group: P4/mmm (123)
Final energy, eV/atom: -3.334
DOS(E_F), states/eV/f.u.: 4.08
Calculated density, kg/m3: 3243
Formation energy, eV/atom: -0.1882

abc: 5.5006 5.5006 4.5044
angles: 90.00 90.00 90.00
Positions (direct):
1 Li 0.0000 0.0000 0.0000
2 Ca 0.0000 0.5000 0.5000
3 Ca 0.5000 0.0000 0.5000
4 Ge 0.5000 0.5000 0.0000
5 Pd 0.0000 0.0000 0.5000


# 3
Computed, not measured: a relaxed structure of Li2CaGePd at the PBE level of DFT.

Computed properties:
Space group: P4/mmm (123)
Final energy, eV/atom: -3.467
DOS(E_F), states/eV/f.u.: 2.35
Calculated density, kg/m3: 3592
Formation energy, eV/atom: -0.3394

abc: 4.7429 4.7429 4.7889
angles: 90.00 90.00 90.00
Positions (direct):
1 Li 0.0000 0.5000 0.0000
2 Li 0.5000 0.0000 0.0000
3 Ca 0.0000 0.0000 0.5000
4 Ge 0.5000 0.5000 0.5000
5 Pd 0.5000 0.5000 0.0000


# 4
Computed, not measured: a relaxed structure of Li2CaPm2Ge2 at the PBE level of DFT.

Computed properties:
Space group: R-3m (166)
Final energy, eV/atom: -3.988
DOS(E_F), states/eV/f.u.: 3.15
Calculated density, kg/m3: 4834
Formation energy, eV/atom: -0.4785

abc: 9.5890 9.5890 9.5890
angles: 27.69 27.69 27.69
Positions (direct):
1 Li 0.1002 0.1002 0.1002
2 Li 0.8998 0.8998 0.8998
3 Ca 0.5000 0.5000 0.5000
4 Pm 0.3730 0.3730 0.3730
5 Pm 0.6270 0.6270 0.6270
6 Ge 0.2414 0.2414 0.2414
7 Ge 0.7586 0.7586 0.7586


# 5
Computed, not measured: a relaxed structure of Li2Ca2PmGe2 at the PBE level of DFT.

Computed properties:
Space group: R-3m (166)
Final energy, eV/atom: -3.614
DOS(E_F), states/eV/f.u.: 2.73
Calculated density, kg/m3: 3567
Formation energy, eV/atom: -0.4978

abc: 10.5530 10.5530 10.5530
angles: 24.59 24.59 24.59
Positions (direct):
1 Li 0.1084 0.1084 0.1084
2 Li 0.8916 0.8916 0.8916
3 Ca 0.3819 0.3819 0.3819
4 Ca 0.6181 0.6181 0.6181
5 Pm 0.5000 0.5000 0.5000
6 Ge 0.2258 0.2258 0.2258
7 Ge 0.7742 0.7742 0.7742


# 6
Computed, not measured: a relaxed structure of Li2CaPr2Ge2 at the PBE level of DFT.

Computed properties:
Space group: R-3m (166)
Final energy, eV/atom: -3.989
DOS(E_F), states/eV/f.u.: 3.64
Calculated density, kg/m3: 4626
Formation energy, eV/atom: -0.4714

abc: 9.7462 9.7462 9.7462
angles: 27.37 27.37 27.37
Positions (direct):
1 Li 0.1033 0.1033 0.1033
2 Li 0.8967 0.8967 0.8967
3 Ca 0.5000 0.5000 0.5000
4 Pr 0.3738 0.3738 0.3738
5 Pr 0.6262 0.6262 0.6262
6 Ge 0.2394 0.2394 0.2394
7 Ge 0.7606 0.7606 0.7606


# 7
Computed, not measured: a relaxed structure of LiCaGe2Pt5 at the PBE level of DFT.

Computed properties:
Space group: P4/mmm (123)
Final energy, eV/atom: -5.326
DOS(E_F), states/eV/f.u.: 3.04
Calculated density, kg/m3: 11089
Formation energy, eV/atom: -0.5086

abc: 4.0435 4.0435 10.6952
angles: 90.00 90.00 90.00
Positions (direct):
1 Li 0.0000 0.0000 0.0000
2 Ca 0.0000 0.0000 0.5000
3 Ge 0.5000 0.5000 0.2740
4 Ge 0.5000 0.5000 0.7260
5 Pt 0.0000 0.5000 0.1434
6 Pt 0.0000 0.5000 0.8566
7 Pt 0.5000 0.0000 0.1434
8 Pt 0.5000 0.0000 0.8566
9 Pt 0.5000 0.5000 0.5000


# 8
Computed, not measured: a relaxed structure of LiCaGe2Pt2 at the PBE level of DFT.

Computed properties:
Space group: P-3m1 (164)
Final energy, eV/atom: -5.001
DOS(E_F), states/eV/f.u.: 2.54
Calculated density, kg/m3: 8752
Formation energy, eV/atom: -0.7957

abc: 4.3408 4.3408 6.7721
angles: 90.00 90.00 120.00
Positions (direct):
1 Li 0.0000 0.0000 0.0000
2 Ca 0.0000 0.0000 0.5000
3 Ge 0.3333 0.6667 0.8028
4 Ge 0.6667 0.3333 0.1972
5 Pt 0.3333 0.6667 0.1915
6 Pt 0.6667 0.3333 0.8085


# 9
Computed, not measured: a relaxed structure of LiCaGe2Pt at the PBE level of DFT.

Computed properties:
Space group: I-4m2 (119)
Final energy, eV/atom: -4.506
DOS(E_F), states/eV/f.u.: 2.57
Calculated density, kg/m3: 6833
Formation energy, eV/atom: -0.6674

abc: 6.0598 6.0598 6.0598
angles: 139.19 139.19 59.09
Positions (direct):
1 Li 0.0000 0.0000 0.0000
2 Ca 0.7500 0.2500 0.5000
3 Ge 0.1318 0.6318 0.5000
4 Ge 0.3682 0.8682 0.5000
5 Pt 0.5000 0.5000 0.0000


# 10
Computed, not measured: a relaxed structure of LiCaGePt2 at the PBE level of DFT.

Computed properties:
Space group: I-4m2 (119)
Final energy, eV/atom: -4.922
DOS(E_F), states/eV/f.u.: 1.63
Calculated density, kg/m3: 9151
Formation energy, eV/atom: -0.7990

abc: 6.5012 6.5012 6.5012
angles: 144.42 144.42 51.20
Positions (direct):
1 Li 0.0000 0.0000 0.0000
2 Ca 0.2500 0.7500 0.5000
3 Ge 0.5000 0.5000 0.0000
4 Pt 0.6357 0.1357 0.5000
5 Pt 0.8643 0.3643 0.5000


# 11
Computed, not measured: a relaxed structure of LiCaGePt at the PBE level of DFT.

Computed properties:
Space group: F-43m (216)
Final energy, eV/atom: -4.239
DOS(E_F), states/eV/f.u.: 2.49
Calculated density, kg/m3: 7517
ΔE to the lowest computed polymorph, eV per atom: 0.1346
Formation energy, eV/atom: -0.5953

abc: 4.6156 4.6156 4.6156
angles: 60.00 60.00 60.00
Positions (direct):
1 Li 0.0000 0.0000 0.0000
2 Ca 0.2500 0.2500 0.2500
3 Ge 0.5000 0.5000 0.5000
4 Pt 0.7500 0.7500 0.7500


# 12
Computed, not measured: a relaxed structure of LiCaGePt at the PBE level of DFT.

Computed properties:
Space group: R3m (160)
Final energy, eV/atom: -4.373
DOS(E_F), states/eV/f.u.: 3.11
Calculated density, kg/m3: 6422
ΔE to the lowest computed polymorph, eV per atom: 0.0000
Formation energy, eV/atom: -0.7299

abc: 5.5299 5.5299 5.5299
angles: 46.54 46.54 46.54
Positions (direct):
1 Li 0.0000 0.0000 0.0000
2 Ca 0.8016 0.8016 0.8016
3 Ge 0.2693 0.2693 0.2693
4 Pt 0.5990 0.5990 0.5990


# 13
Computed, not measured: a relaxed structure of LiCaPuGe at the PBE level of DFT.

Computed properties:
Space group: F-43m (216)
Final energy, eV/atom: -5.896
DOS(E_F), states/eV/f.u.: 7.84
Calculated density, kg/m3: 6322
Formation energy, eV/atom: -0.1796

abc: 5.1309 5.1309 5.1309
angles: 60.00 60.00 60.00
Positions (direct):
1 Li 0.0000 0.0000 0.0000
2 Ca 0.2500 0.2500 0.2500
3 Pu 0.7500 0.7500 0.7500
4 Ge 0.5000 0.5000 0.5000


# 14
Computed, not measured: a relaxed structure of LiCaRe2Ge at the PBE level of DFT.

Computed properties:
Space group: P4/mmm (123)
Final energy, eV/atom: -5.840
DOS(E_F), states/eV/f.u.: 4.90
Calculated density, kg/m3: 7909
Formation energy, eV/atom: 0.8459

abc: 4.6726 4.6726 4.7317
angles: 90.00 90.00 90.00
Positions (direct):
1 Li 0.0000 0.0000 0.0000
2 Ca 0.5000 0.5000 0.0000
3 Re 0.0000 0.5000 0.5000
4 Re 0.5000 0.0000 0.5000
5 Ge 0.0000 0.0000 0.5000


# 15
Computed, not measured: a relaxed structure of LiCa2Ge2Rh5 at the PBE level of DFT.

Computed properties:
Space group: P4/mbm (127)
Final energy, eV/atom: -5.692
DOS(E_F), states/eV/f.u.: 5.72
Calculated density, kg/m3: 7381
Formation energy, eV/atom: -0.5014

abc: 10.0288 10.0288 3.3416
angles: 90.00 90.00 90.00
Positions (direct):
1 Li 0.0000 0.0000 0.0000
2 Li 0.5000 0.5000 0.0000
3 Ca 0.1710 0.3290 0.0000
4 Ca 0.3290 0.8290 0.0000
5 Ca 0.6710 0.1710 0.0000
6 Ca 0.8290 0.6710 0.0000
7 Ge 0.1311 0.6311 0.0000
8 Ge 0.3689 0.1311 0.0000
9 Ge 0.6311 0.8689 0.0000
10 Ge 0.8689 0.3689 0.0000
11 Rh 0.0000 0.5000 0.5000
12 Rh 0.0656 0.7981 0.5000
13 Rh 0.2019 0.0656 0.5000
14 Rh 0.2981 0.5656 0.5000
15 Rh 0.4344 0.2981 0.5000
16 Rh 0.5000 0.0000 0.5000
17 Rh 0.5656 0.7019 0.5000
18 Rh 0.7019 0.4344 0.5000
19 Rh 0.7981 0.9344 0.5000
20 Rh 0.9344 0.2019 0.5000


# 16
Computed, not measured: a relaxed structure of LiCaGe2Rh at the PBE level of DFT.

Computed properties:
Space group: I-4m2 (119)
Final energy, eV/atom: -4.690
DOS(E_F), states/eV/f.u.: 1.47
Calculated density, kg/m3: 5314
Formation energy, eV/atom: -0.5902

abc: 6.0051 6.0051 6.0051
angles: 139.01 139.01 59.35
Positions (direct):
1 Li 0.0000 0.0000 0.0000
2 Ca 0.7500 0.2500 0.5000
3 Ge 0.1277 0.6277 0.5000
4 Ge 0.3723 0.8723 0.5000
5 Rh 0.5000 0.5000 0.0000


# 17
Computed, not measured: a relaxed structure of Li2CaGeRh at the PBE level of DFT.

Computed properties:
Space group: P4/mmm (123)
Final energy, eV/atom: -3.870
DOS(E_F), states/eV/f.u.: 1.47
Calculated density, kg/m3: 3675
Formation energy, eV/atom: -0.3108

abc: 4.6956 4.6956 4.7032
angles: 90.00 90.00 90.00
Positions (direct):
1 Li 0.0000 0.5000 0.0000
2 Li 0.5000 0.0000 0.0000
3 Ca 0.0000 0.0000 0.5000
4 Ge 0.5000 0.5000 0.5000
5 Rh 0.5000 0.5000 0.0000


# 18
Computed, not measured: a relaxed structure of LiCa2GeS at the PBE level of DFT.

Computed properties:
Space group: P4/mmm (123)
Final energy, eV/atom: -3.398
DOS(E_F), states/eV/f.u.: 4.23
Formation energy from raw total energies, eV/atom: -0.47
Calculated density, kg/m3: 2266

abc: 5.5229 5.5229 4.6073
angles: 90.00 90.00 90.00
Positions (direct):
1 Li 0.0000 0.0000 0.0000
2 Ca 0.0000 0.5000 0.5000
3 Ca 0.5000 0.0000 0.5000
4 Ge 0.0000 0.0000 0.5000
5 S 0.5000 0.5000 0.0000


# 19
Computed, not measured: a relaxed structure of LiCaSc2Ge at the PBE level of DFT.

Computed properties:
Space group: P4/mmm (123)
Final energy, eV/atom: -3.278
DOS(E_F), states/eV/f.u.: 3.69
Calculated density, kg/m3: 2320
Formation energy, eV/atom: 0.9614

abc: 5.3076 5.3076 5.3249
angles: 90.00 90.00 90.00
Positions (direct):
1 Li 0.0000 0.0000 0.0000
2 Ca 0.5000 0.5000 0.5000
3 Sc 0.0000 0.5000 0.5000
4 Sc 0.5000 0.0000 0.5000
5 Ge 0.5000 0.5000 0.0000


# 20
Computed, not measured: a relaxed structure of Li2CaGeSe4 at the PBE level of DFT.

Computed properties:
Space group: Imma (74)
Final energy, eV/atom: -3.977
DOS(E_F), states/eV/f.u.: 2.32
Formation energy from raw total energies, eV/atom: -0.93
Calculated density, kg/m3: 4203

abc: 7.9217 7.9217 7.9217
angles: 122.31 118.19 89.61
Positions (direct):
1 Li 0.0000 0.0000 0.0000
2 Li 0.5000 0.0000 0.0000
3 Li 0.5000 0.0000 0.5000
4 Li 0.5000 0.5000 0.5000
5 Ca 0.0000 0.5000 0.5000
6 Ca 0.5000 0.5000 0.0000
7 Ge 0.0000 0.0000 0.5000
8 Ge 0.0000 0.5000 0.0000
9 Se 0.2281 0.2424 0.9858
10 Se 0.2317 0.2164 0.4847
11 Se 0.2317 0.7470 0.0153
12 Se 0.2434 0.7576 0.4858
13 Se 0.7566 0.2424 0.5142
14 Se 0.7683 0.2530 0.9847
15 Se 0.7683 0.7836 0.5153
16 Se 0.7719 0.7576 0.0142


# 21
Computed, not measured: a relaxed structure of LiCa2SiGe at the PBE level of DFT.

Computed properties:
Space group: P4/mmm (123)
Final energy, eV/atom: -3.040
DOS(E_F), states/eV/f.u.: 3.33
Formation energy from raw total energies, eV/atom: 0.15
Calculated density, kg/m3: 2505

abc: 5.3478 5.3478 4.3526
angles: 90.00 90.00 90.00
Positions (direct):
1 Li 0.0000 0.0000 0.0000
2 Ca 0.0000 0.5000 0.0000
3 Ca 0.5000 0.0000 0.0000
4 Si 0.5000 0.5000 0.5000
5 Ge 0.0000 0.0000 0.5000


# 22
Computed, not measured: a relaxed structure of Li2CaSmGe2 at the PBE level of DFT.

Computed properties:
Space group: P-3m1 (164)
Final energy, eV/atom: -3.884
DOS(E_F), states/eV/f.u.: 2.65
Calculated density, kg/m3: 4447
Formation energy, eV/atom: -0.5864

abc: 4.5253 4.5253 7.3609
angles: 90.00 90.00 120.00
Positions (direct):
1 Li 0.3333 0.6667 0.2511
2 Li 0.6667 0.3333 0.7489
3 Ca 0.0000 0.0000 0.5000
4 Sm 0.0000 0.0000 0.0000
5 Ge 0.3333 0.6667 0.7699
6 Ge 0.6667 0.3333 0.2301


# 23
Computed, not measured: a relaxed structure of Li2Ca2SmGe2 at the PBE level of DFT.

Computed properties:
Space group: R-3m (166)
Final energy, eV/atom: -3.611
DOS(E_F), states/eV/f.u.: 2.77
Calculated density, kg/m3: 3630
Formation energy, eV/atom: -0.4985

abc: 10.5613 10.5613 10.5613
angles: 24.51 24.51 24.51
Positions (direct):
1 Li 0.1096 0.1096 0.1096
2 Li 0.8904 0.8904 0.8904
3 Ca 0.3824 0.3824 0.3824
4 Ca 0.6176 0.6176 0.6176
5 Sm 0.5000 0.5000 0.5000
6 Ge 0.2250 0.2250 0.2250
7 Ge 0.7750 0.7750 0.7750


# 24
Computed, not measured: a relaxed structure of LiCaSmGe at the PBE level of DFT.

Computed properties:
Space group: F-43m (216)
Final energy, eV/atom: -3.698
DOS(E_F), states/eV/f.u.: 2.73
Calculated density, kg/m3: 4635
Formation energy, eV/atom: -0.3852

abc: 5.1526 5.1526 5.1526
angles: 60.00 60.00 60.00
Positions (direct):
1 Li 0.0000 0.0000 0.0000
2 Ca 0.7500 0.7500 0.7500
3 Sm 0.2500 0.2500 0.2500
4 Ge 0.5000 0.5000 0.5000


# 25
Computed, not measured: a relaxed structure of LiCaTa2Ge at the PBE level of DFT.

Computed properties:
Space group: P4/mmm (123)
Final energy, eV/atom: -5.537
DOS(E_F), states/eV/f.u.: 7.18
Calculated density, kg/m3: 6156
Formation energy, eV/atom: 0.9102

abc: 4.8822 4.8822 5.4493
angles: 90.00 90.00 90.00
Positions (direct):
1 Li 0.0000 0.0000 0.0000
2 Ca 0.5000 0.5000 0.0000
3 Ta 0.0000 0.5000 0.5000
4 Ta 0.5000 0.0000 0.5000
5 Ge 0.5000 0.5000 0.5000


# 26
Computed, not measured: a relaxed structure of LiCaTlGe at the PBE level of DFT.

Computed properties:
Space group: F-43m (216)
Final energy, eV/atom: -3.059
DOS(E_F), states/eV/f.u.: 0.61
Calculated density, kg/m3: 5759
Formation energy, eV/atom: -0.3342

abc: 5.0934 5.0934 5.0934
angles: 60.00 60.00 60.00
Positions (direct):
1 Li 0.0000 0.0000 0.0000
2 Ca 0.5000 0.5000 0.5000
3 Tl 0.7500 0.7500 0.7500
4 Ge 0.2500 0.2500 0.2500


# 27
Computed, not measured: a relaxed structure of Li2CaTm2Ge2 at the PBE level of DFT.

Computed properties:
Space group: R-3m (166)
Final energy, eV/atom: -3.897
DOS(E_F), states/eV/f.u.: 2.86
Calculated density, kg/m3: 5667
Formation energy, eV/atom: -0.4675

abc: 9.2374 9.2374 9.2374
angles: 28.38 28.38 28.38
Positions (direct):
1 Li 0.0926 0.0926 0.0926
2 Li 0.9074 0.9074 0.9074
3 Ca 0.5000 0.5000 0.5000
4 Tm 0.3711 0.3711 0.3711
5 Tm 0.6289 0.6289 0.6289
6 Ge 0.2461 0.2461 0.2461
7 Ge 0.7539 0.7539 0.7539